[1]
Material: Al3NiPd2
Method: DFT, GGA-PBE
State: relaxed

Energy of formation in eV/atom: -0.788
Symmetry: P4/mmm (123)
Final energy in eV/cell: -32.13
D(E_F) in states/eV per cell: 1.92

abc: 3.0401 3.0401 8.9363
angles: 90.00 90.00 90.00
Atoms (fractional coordinates):
Al1 0.0000 0.0000 0.0000
Al2 0.0000 0.0000 0.6520
Al3 0.0000 0.0000 0.3480
Ni1 0.5000 0.5000 0.5000
Pd1 0.5000 0.5000 0.8275
Pd2 0.5000 0.5000 0.1725


[2]
Material: AlNiPd5
Method: DFT, GGA-PBE
State: relaxed

Energy of formation in eV/atom: -0.151
Symmetry: C2/c (15)
Final energy in eV/cell: -73.09
D(E_F) in states/eV per cell: 13.06

abc: 7.3021 7.3021 7.9789
angles: 47.46 47.46 73.52
Each line ends with the local moment (μB).
Atoms (fractional coordinates):
Al1 0.5505 0.4495 0.2500  -0.01
Al2 0.4495 0.5505 0.7500  -0.01
Ni1 0.0000 0.0000 0.0000  0.68
Ni2 0.0000 0.0000 0.5000  0.68
Pd1 0.6796 0.8925 0.0137  0.10
Pd2 0.2153 0.5340 0.6179  0.04
Pd3 0.8925 0.6796 0.5137  0.10
Pd4 0.8247 0.1753 0.2500  0.09
Pd5 0.4660 0.7847 0.8821  0.04
Pd6 0.5340 0.2153 0.1179  0.04
Pd7 0.1753 0.8247 0.7500  0.09
Pd8 0.1075 0.3204 0.4863  0.10
Pd9 0.7847 0.4660 0.3821  0.04
Pd10 0.3204 0.1075 0.9863  0.10


[3]
Material: AlNi3Pd
Method: DFT, GGA-PBE
State: relaxed

E above lowest polymorph in meV per atom: 413
Energy of formation in eV/atom: 1.136
Symmetry: Pm-3m (221)
Final energy in eV/cell: -20.60
D(E_F) in states/eV per cell: 9.36

abc: 4.5309 4.5309 4.5309
angles: 90.00 90.00 90.00
Each line ends with the local moment (μB).
Atoms (fractional coordinates):
Ni1 0.0000 0.5000 0.0000  0.57
Ni2 0.0000 0.0000 0.5000  0.90
Ni3 0.5000 0.0000 0.0000  0.37
Al1 0.5000 0.5000 0.5000  -0.01
Pd1 0.0000 0.0000 0.0000  0.36


[4]
Material: Al2NiPd8
Method: DFT, GGA-PBE
State: relaxed

E above lowest polymorph in meV per atom: 234
Energy of formation in eV/atom: -0.187
Symmetry: C2/m (12)
Final energy in eV/cell: -56.87
D(E_F) in states/eV per cell: 11.65

abc: 4.6974 6.8157 6.8157
angles: 56.60 76.44 76.44
Atoms (fractional coordinates):
Al1 0.5045 0.8691 0.8691
Al2 0.4955 0.1309 0.1309
Ni1 0.0000 0.0000 0.0000
Pd1 0.2255 0.3614 0.7740
Pd2 0.7745 0.2260 0.6386
Pd3 0.0821 0.7769 0.7769
Pd4 0.9179 0.2231 0.2231
Pd5 0.2255 0.7740 0.3614
Pd6 0.7745 0.6386 0.2260
Pd7 0.6702 0.6493 0.6493
Pd8 0.3298 0.3507 0.3507


[5]
Material: Al6NiPd
Method: DFT, GGA-PBE
State: relaxed

Energy of formation in eV/atom: -0.284
Symmetry: C2/m (12)
Final energy in eV/cell: -35.70
D(E_F) in states/eV per cell: 3.25

abc: 4.1452 6.9359 6.8961
angles: 59.81 72.85 54.10
Atoms (fractional coordinates):
Al1 0.7435 0.4358 0.6423
Al2 0.7435 0.0781 0.3577
Al3 0.2565 0.9219 0.6423
Al4 0.2565 0.5642 0.3577
Al5 0.7608 0.7384 0.0000
Al6 0.2392 0.2616 0.0000
Ni1 0.5000 0.5000 0.0000
Pd1 0.0000 0.0000 0.0000


[6]
Material: Al8Ni2Pd
Method: DFT, GGA-PBE
State: relaxed

Energy of formation in eV/atom: -0.341
Symmetry: Immm (71)
Final energy in eV/cell: -50.44
D(E_F) in states/eV per cell: 5.00

abc: 3.9703 6.9257 7.1530
angles: 118.95 106.11 90.00
Atoms (fractional coordinates):
Al1 0.6641 0.8840 0.3281
Al2 0.3359 0.5558 0.6719
Al3 0.1515 0.1514 0.3029
Al4 0.0000 0.3080 0.0000
Al5 0.8485 0.8486 0.6971
Al6 0.6641 0.4442 0.3281
Al7 0.3359 0.1160 0.6719
Al8 0.0000 0.6920 0.0000
Ni1 0.1838 0.6838 0.3676
Ni2 0.8162 0.3162 0.6324
Pd1 0.5000 0.0000 0.0000